Record 1
The following is a PBE-GGA calculation of a relaxed CeTaS crystal, from Alexandria.

Calculated values
Fermi-level density of states = 5.0 states/eV/f.u.
Energy relative to the elements, uncorrected = -0.55 eV per atom
Total magnetic moment = 0.44 μB per formula unit

Cell: 4.973 3.345 8.323 Å, 101.59 107.39 90.00°
Each line ends with the local moment (μB).
Fractional positions:
Ce 0.332 0.832 0.664  0.41
S 0.149 0.649 0.298  -0.01
Ta 0.255 0.500 0.000  -0.01
Ta 0.745 0.500 0.000  -0.01
Ce 0.668 0.168 0.336  0.41
S 0.851 0.351 0.702  -0.01

***

Record 2
The following is a PBE-GGA calculation of a relaxed Ce2TaS5 crystal, from Alexandria.

Calculated values
Fermi-level density of states = 9.7 states/eV/f.u.
Energy relative to the elements, uncorrected = -1.44 eV per atom
Total magnetic moment = 3.04 μB per formula unit

Cell: 5.271 7.173 12.510 Å, 90.00 90.00 111.56°
Each line ends with the local moment (μB).
Fractional positions:
Ce 0.146 0.292 0.932  0.87
S 0.949 0.897 0.874  -0.03
Ta 0.809 0.617 0.750  0.76
Ce 0.146 0.292 0.568  0.87
Ce 0.854 0.708 0.068  0.87
S 0.305 0.610 0.089  -0.02
S 0.051 0.103 0.374  -0.03
S 0.695 0.390 0.911  -0.02
S 0.695 0.390 0.589  -0.02
Ta 0.191 0.383 0.250  0.76
Ce 0.854 0.708 0.432  0.87
S 0.949 0.897 0.626  -0.03
S 0.280 0.561 0.750  -0.02
S 0.305 0.610 0.411  -0.02
S 0.051 0.103 0.126  -0.03
S 0.720 0.439 0.250  -0.02

***

Record 3
The following is a PBE-GGA calculation of a relaxed Ce2TaS6 crystal, from Alexandria.

Calculated values
Fermi-level density of states = 9.5 states/eV/f.u.
Relative energy among the computed polymorphs = 145 meV per atom
Energy relative to the elements, uncorrected = -1.38 eV per atom
Total magnetic moment = 1.09 μB per formula unit

Cell: 6.268 6.268 11.960 Å, 90.00 90.00 90.00°
Each line ends with the local moment (μB).
Fractional positions:
S 0.785 0.215 0.500  -0.02
S 0.811 0.189 0.147  -0.02
S 0.311 0.311 0.353  -0.02
S 0.689 0.689 0.647  -0.02
S 0.215 0.785 0.500  -0.02
S 0.189 0.811 0.853  -0.02
S 0.689 0.689 0.353  -0.02
S 0.311 0.311 0.647  -0.02
Ce 0.500 0.500 0.829  0.55
Ce 0.000 0.000 0.329  0.55
S 0.715 0.715 0.000  -0.02
Ce 0.000 0.000 0.671  0.55
Ta 0.000 0.000 0.000  0.07
S 0.285 0.285 0.000  -0.02
S 0.811 0.189 0.853  -0.02
S 0.189 0.811 0.147  -0.02
Ce 0.500 0.500 0.171  0.55
Ta 0.500 0.500 0.500  0.07